No. 1
Computed, not measured: a geometry-optimized GdErBe2 structure at the PBE level of DFT.

## Properties
For the formation enthalpy at 0 K, the calculation gives 0.102 eV/atom. The energy above the most stable polymorph in this dataset is 3 meV per atom.

Geometry as extended XYZ:
```
16
Lattice="6.815 0.000 0.000 0.000 6.815 0.000 0.000 0.000 6.815" Properties=species:S:1:pos:R:3 pbc="T T T"
Gd 0.000 0.000 0.000
Gd 0.000 3.408 3.408
Gd 3.408 0.000 3.408
Gd 3.408 3.408 0.000
Er 0.000 0.000 3.408
Er 0.000 3.408 0.000
Er 3.408 0.000 0.000
Er 3.408 3.408 3.408
Be 1.704 1.704 1.704
Be 1.704 1.704 5.111
Be 1.704 5.111 1.704
Be 1.704 5.111 5.111
Be 5.111 1.704 1.704
Be 5.111 1.704 5.111
Be 5.111 5.111 1.704
Be 5.111 5.111 5.111
```

***

No. 2
Computed, not measured: a geometry-optimized La2Si3AgPd4 structure at the PBE level of DFT.

## Properties
For the formation energy without anion corrections, the calculation gives -0.781 eV/atom.

Geometry as extended XYZ:
```
10
Lattice="4.356 0.000 0.000 0.000 4.356 0.000 0.000 0.000 10.185" Properties=species:S:1:pos:R:3 pbc="T T T"
La 0.000 2.178 2.515
La 2.178 0.000 7.670
Si 0.000 0.000 0.000
Si 0.000 2.178 6.307
Si 2.178 0.000 3.878
Ag 2.178 2.178 0.000
Pd 0.000 0.000 5.093
Pd 0.000 2.178 8.692
Pd 2.178 0.000 1.493
Pd 2.178 2.178 5.093
```

***

No. 3
Computed, not measured: a geometry-optimized Li3Th3Ga8 structure at the PBE level of DFT.

## Properties
For the formation enthalpy at 0 K, the calculation gives -0.440 eV/atom.

Geometry as extended XYZ:
```
14
Lattice="-2.183 4.651 6.892 2.183 -4.651 6.892 2.183 4.651 -6.892" Properties=species:S:1:pos:R:3 pbc="T T T"
Li 0.000 0.000 0.000
Li 2.183 1.829 0.000
Li 0.000 2.822 6.892
Th 2.183 0.000 2.846
Th 0.000 4.651 0.000
Th 0.000 4.651 4.046
Ga 2.183 -2.657 5.060
Ga 2.183 3.360 -2.144
Ga 0.000 1.994 1.832
Ga 0.000 1.291 4.747
Ga 2.183 3.360 2.144
Ga 2.183 2.657 5.060
Ga 0.000 1.291 9.036
Ga 0.000 7.307 1.832
```

***

No. 4
Computed, not measured: a geometry-optimized Bi3Te4Cl5O10 structure at the PBE level of DFT.

## Properties
For the formation energy without anion corrections, the calculation gives -1.074 eV/atom.

Geometry as extended XYZ:
```
22
Lattice="7.792 -2.057 0.000 7.792 2.057 0.000 -1.471 0.000 13.375" Properties=species:S:1:pos:R:3 pbc="T T T"
Bi 0.000 0.000 0.000
Bi 2.140 0.000 10.768
Bi 11.973 0.000 2.607
Te 1.783 0.000 6.761
Te 7.054 0.000 3.052
Te 7.059 0.000 10.323
Te 12.330 0.000 6.614
Cl 2.070 0.000 3.696
Cl 2.684 0.000 0.301
Cl 7.057 0.000 6.687
Cl 11.429 0.000 13.074
Cl 12.043 0.000 9.678
O -0.298 0.000 10.750
O 1.571 0.000 8.603
O 3.817 0.000 6.703
O 5.153 0.000 2.659
O 6.301 0.000 12.055
O 7.812 0.000 1.319
O 8.960 0.000 10.716
O 10.296 0.000 6.672
O 12.542 0.000 4.771
O 14.411 0.000 2.625
```

***

No. 5
Computed, not measured: a geometry-optimized MoPPt2Pb structure at the PBE level of DFT.

## Properties
For the formation enthalpy at 0 K, the calculation gives 0.466 eV/atom.

Geometry as extended XYZ:
```
5
Lattice="4.965 0.000 0.000 0.000 4.965 0.000 0.000 0.000 4.597" Properties=species:S:1:pos:R:3 pbc="T T T"
Mo 0.000 0.000 0.000
P 0.000 0.000 2.298
Pt 0.000 2.483 0.000
Pt 2.483 0.000 0.000
Pb 2.483 2.483 2.298
```

***

No. 6
Computed, not measured: a geometry-optimized Li2MgTlIn5 structure at the PBE level of DFT.

## Properties
For the formation enthalpy at 0 K, the calculation gives -0.054 eV/atom.

Geometry as extended XYZ:
```
18
Lattice="-3.427 3.427 9.267 3.427 -3.427 9.267 3.427 3.427 -9.267" Properties=species:S:1:pos:R:3 pbc="T T T"
Li 4.338 0.911 0.000
Li 0.911 2.516 0.000
Li 2.516 0.911 9.267
Li -0.911 2.516 9.267
Mg 3.427 0.000 4.633
Mg 0.000 3.427 4.633
Tl 0.000 0.000 4.633
Tl 0.000 0.000 13.900
In 0.000 0.000 0.000
In 2.242 1.186 -2.163
In 2.242 -1.186 7.104
In 2.242 1.186 2.163
In 2.242 -1.186 11.429
In 0.000 0.000 9.267
In 1.186 4.613 -2.163
In 1.186 2.242 7.104
In 1.186 4.613 2.163
In 1.186 2.242 11.429
```

***

Going through the records in order, we get electronic total energy values of -6.422 -5.756 -4.170 -4.848 -5.940 -2.441 eV per atom.